1.
Below is a geometry-optimized La2Pt structure, with properties calculated at the PBE level.

Calculated values
- Energy of formation: -221 kJ/mol of formula units
- Theoretical density: 7.6 g/cm³
- Final energy: -6.063 eV per atom
- Density of states at the Fermi level: 1.19 states/eV per atom

Cell lengths 6.987, 6.955, 4.233 Å; angles 90.00, 90.00, 90.00 degrees
Fractional coordinates of all 6 atoms:
La 0.250 0.854 0.500
La 0.750 0.646 0.000
La 0.250 0.354 0.000
La 0.750 0.146 0.500
Pt 0.000 0.000 0.000
Pt 0.500 0.500 0.500



2.
Below is a geometry-optimized La3Pt structure, with properties calculated at the PBE level.

Calculated values
- Energy of formation: -224 kJ/mol of formula units
- Theoretical density: 8.2 g/cm³
- Final energy: -5.786 eV per atom
- Density of states at the Fermi level: 1.42 states/eV per atom

Cell lengths 6.516, 12.302, 12.302 Å; angles 90.00, 90.00, 90.00 degrees
Fractional coordinates of all 32 atoms:
La 0.455 0.920 0.627
La 0.770 0.443 0.630
La 0.039 0.714 0.156
La 0.045 0.580 0.873
La 0.461 0.214 0.656
La 0.955 0.873 0.420
La 0.730 0.943 0.130
La 0.545 0.627 0.080
La 0.455 0.080 0.373
La 0.539 0.656 0.786
La 0.539 0.344 0.214
La 0.230 0.370 0.443
La 0.270 0.130 0.057
La 0.961 0.844 0.714
La 0.270 0.870 0.943
La 0.770 0.557 0.370
La 0.039 0.286 0.844
La 0.545 0.373 0.920
La 0.461 0.786 0.344
La 0.961 0.156 0.286
La 0.955 0.127 0.580
La 0.230 0.630 0.557
La 0.045 0.420 0.127
La 0.730 0.057 0.870
Pt 0.761 0.808 0.931
Pt 0.239 0.931 0.192
Pt 0.239 0.069 0.808
Pt 0.739 0.692 0.569
Pt 0.261 0.431 0.692
Pt 0.261 0.569 0.308
Pt 0.761 0.192 0.069
Pt 0.739 0.308 0.431



3.
Below is a geometry-optimized La3Pt4 structure, with properties calculated at the PBE level.

Calculated values
- Energy of formation: -785 kJ/mol of formula units
- ΔE to the lowest computed polymorph: 0.0 meV per atom
- Theoretical density: 12.1 g/cm³
- Final energy: -6.726 eV per atom
- Density of states at the Fermi level: 0.47 states/eV per atom

Cell lengths 8.284, 8.284, 8.284 Å; angles 114.61, 114.61, 114.61 degrees
Fractional coordinates of all 14 atoms:
Pt 0.000 0.000 0.000
Pt 0.500 0.500 0.500
Pt 0.554 0.222 0.058
Pt 0.778 0.942 0.446
Pt 0.222 0.058 0.554
Pt 0.942 0.446 0.778
Pt 0.058 0.554 0.222
Pt 0.446 0.778 0.942
La 0.032 0.282 0.408
La 0.592 0.968 0.718
La 0.408 0.032 0.282
La 0.282 0.408 0.032
La 0.718 0.592 0.968
La 0.968 0.718 0.592